A relaxed LaTbDy2Th crystal. Source: the Alexandria database, functional PBE-GGA.

The structure belongs to space group Pmmm (No. 47); the cell edges are 3.5269, 5.6829 and 8.7396 Å and the angles 90.00°, 90.00° and 90.00°. The asymmetric unit holds La at (0.0000, 0.0000, 0.0000), Tb at (0.5000, 0.0000, 0.5000), Dy at (0.0000, 0.5000, 0.3213) and Th at (0.5000, 0.5000, 0.0000).

A relaxed LaTbDy3Th crystal. Source: the Alexandria database, functional PBE-GGA.

The structure belongs to space group P2_1/m (No. 11); the cell edges are 8.0213, 5.0771 and 10.1925 Å and the angles 90.00°, 108.95° and 90.00°. The asymmetric unit holds La at (0.1694, 0.2500, 0.2921), Tb at (0.4990, 0.2500, 0.6293), Dy at (0.1702, 0.7500, 0.5454), Dy at (0.1764, 0.7500, 0.0417), Dy at (0.1778, 0.2500, 0.7943) and Th at (0.4987, 0.7500, 0.8788).

A relaxed La2Tb6Dy3Th crystal. Source: the Alexandria database, functional PBE-GGA.

The structure belongs to space group C2/m (No. 12); the cell edges are 6.2299, 10.7832 and 11.8476 Å and the angles 90.00°, 100.08° and 90.00°. The asymmetric unit holds La at (0.0000, 0.1666, 0.0000), Tb at (0.2436, 0.5000, 0.7478), Tb at (0.2493, 0.3356, 0.2523), Dy at (0.0000, 0.0000, 0.5000), Dy at (0.0000, 0.3331, 0.5000) and Th at (0.0000, 0.5000, 0.0000).

Total energy: -4.9522 -5.0959 -4.8757 (eV per atom)
ΔH_f (0 K): 0.2841 0.0347 0.0295 (eV per atom)